(A)
# CePu2Ga6

An optimized crystal structure of CePu2Ga6 (GGA-PBE, the Alexandria database).

Cell: 3.4348 7.9173 7.9176 Å, 120.00 90.01 90.00°
Site moments in Bohr magnetons follow the coordinates.
Sites, in units of the cell vectors:
Ga 0.4999 0.6661 0.6660  0.00
Ga 0.5000 0.6661 0.0001  0.00
Ga 0.5001 0.3340 0.3339  0.00
Ga 0.5000 0.3340 0.0001  0.00
Ga 0.4999 0.9999 0.6660  0.00
Ga 0.5001 0.9999 0.3339  0.00
Ce 0.0000 0.0000 0.0000  0.46
Pu 0.0000 0.3333 0.6667  -5.34
Pu 0.0000 0.6667 0.3333  -5.34

Summary:
Volume, A^3/atom: 20.719
Symmetry: No. 191
Total magnetic moment, μB per cell: 10.8



(B)
# CePu2Ga6

An optimized crystal structure of CePu2Ga6 (GGA-PBE, the Alexandria database).

Cell: 4.4611 7.6768 7.6768 Å, 55.44 73.11 73.11°
Site moments in Bohr magnetons follow the coordinates.
Sites, in units of the cell vectors:
Ga 0.8120 0.4914 0.8845  -0.01
Ga 0.0000 0.1894 0.8106  -0.04
Ga 0.1880 0.1155 0.5086  -0.01
Ga 0.0000 0.8106 0.1894  -0.04
Ga 0.8120 0.8845 0.4914  -0.01
Ga 0.1880 0.5086 0.1155  -0.01
Ce 0.5000 0.5000 0.5000  0.92
Pu 0.6178 0.8822 0.8822  5.25
Pu 0.3822 0.1178 0.1178  5.25

Summary:
Volume, A^3/atom: 22.724
Symmetry: No. 71
Total magnetic moment, μB per cell: 12.0



Name the most stable of them. (A).



(A)
# CePu2Ga2

An optimized crystal structure of CePu2Ga2 (GGA-PBE, the Alexandria database).

Cell: 7.6658 7.6658 7.6658 Å, 147.80 147.80 46.19°
Site moments in Bohr magnetons follow the coordinates.
Sites, in units of the cell vectors:
Ga 0.7500 0.2500 0.5000  0.01
Ga 0.2500 0.7500 0.5000  0.01
Pu 0.3926 0.3926 0.0000  5.59
Pu 0.6074 0.6074 0.0000  5.59
Ce 0.0000 0.0000 0.0000  1.25

Summary:
Volume, A^3/atom: 25.500
Symmetry: No. 139
Total magnetic moment, μB per cell: 13.7



(B)
# CePu2Ga2

An optimized crystal structure of CePu2Ga2 (GGA-PBE, the Alexandria database).

Cell: 4.8291 5.7313 8.8974 Å, 102.01 90.00 114.92°
Site moments in Bohr magnetons follow the coordinates.
Sites, in units of the cell vectors:
Ga 0.9382 0.8764 0.6266  0.02
Ga 0.8750 0.7500 0.9217  -0.03
Ga 0.0618 0.1236 0.3734  0.02
Ga 0.1250 0.2500 0.0783  -0.03
Pu 0.6331 0.2662 0.6058  -4.72
Pu 0.3669 0.7338 0.3942  -4.72
Pu 0.5695 0.1389 0.8581  4.87
Pu 0.4305 0.8611 0.1419  4.87
Ce 0.7455 0.4909 0.2657  -0.44
Ce 0.2545 0.5091 0.7343  -0.44

Summary:
Volume, A^3/atom: 21.737
Symmetry: No. 12
Total magnetic moment, μB per cell: 0.6



Name the most stable of them. (B).



(A)
# Ce6PuGa2

An optimized crystal structure of Ce6PuGa2 (GGA-PBE, the Alexandria database).

Cell: 5.3225 6.9833 6.9833 Å, 59.26 88.29 88.29°
Sites, in units of the cell vectors:
Ga 0.7493 0.6665 0.6665
Ga 0.2507 0.3335 0.3335
Ce 0.2369 0.8198 0.8198
Ce 0.2564 0.8208 0.3391
Ce 0.7631 0.1802 0.1802
Ce 0.7436 0.1792 0.6609
Ce 0.2564 0.3391 0.8208
Ce 0.7436 0.6609 0.1792
Pu 0.0000 0.0000 0.0000

Summary:
Volume, A^3/atom: 24.774
Symmetry: No. 12
Total magnetic moment, μB per cell: 0.0



(B)
# Ce6PuGa2

An optimized crystal structure of Ce6PuGa2 (GGA-PBE, the Alexandria database).

Cell: 6.9333 6.9333 6.9346 Å, 60.00 60.00 60.01°
Sites, in units of the cell vectors:
Ce 0.2518 0.7488 0.2513
Ce 0.7488 0.2518 0.2513
Ce 0.2514 0.2514 0.7481
Ce 0.7486 0.7486 0.2519
Ce 0.2512 0.7482 0.7487
Ce 0.7482 0.2512 0.7487
Pu 0.5000 0.5000 0.5000
Ga 0.2500 0.2500 0.2499
Ga 0.7500 0.7500 0.7501

Summary:
Volume, A^3/atom: 26.193
Symmetry: No. 225
Total magnetic moment, μB per cell: 0.0



Name the most stable of them. (B).